Computed, not measured: a geometry-optimized Nd4Dy3Er4 structure at the PBE-GGA level of DFT.

Cell lengths 3.591, 9.388, 12.028 Å; angles 112.97, 98.58, 90.00 degrees
Atoms (fractional coordinates):
Er: 0.500 0.182 0.000
Er: 0.260 0.760 0.520
Er: 0.500 0.818 0.000
Dy: 0.893 0.893 0.786
Nd: 0.645 0.466 0.290
Er: 0.740 0.240 0.480
Nd: 0.355 0.176 0.710
Dy: 0.107 0.107 0.214
Nd: 0.355 0.534 0.710
Nd: 0.645 0.824 0.290
Dy: 0.000 0.500 0.000

Results
**ΔE to the lowest computed polymorph**: 0 meV/atom
**Calculated total energy**: -4.524 eV per atom
**Spin magnetization**: 0.000 Bohr magnetons per cell